ZnAu3 | Alexandria | PBE | optimized geometry; spin magnetization = 0.00 μB per cell; symmetry = I4_1/acd (142); energy relative to the elements = -0.6 eV per formula unit
1.0
17.3152 -0.0380 0.0000
15.4458 7.8259 0.0000
-16.3805 -3.8940 4.0415
Au Zn
24 8
Direct
0.1250 0.1275 0.5025
0.3725 0.3750 0.4975
0.8096 0.3096 0.5000
0.8775 0.8750 0.5025
0.1250 0.6275 0.0025
0.8176 0.3176 0.1351
0.0596 0.0596 0.0000
0.3775 0.8750 0.0025
0.1904 0.6904 0.5000
0.5596 0.5596 0.0000
0.6904 0.1904 0.5000
0.0676 0.4324 0.0000
0.3176 0.1824 0.5000
0.9404 0.9404 0.0000
0.6250 0.6225 0.4975
0.1824 0.6824 0.8649
0.8725 0.3750 0.9975
0.6250 0.1225 0.9975
0.9324 0.9324 0.3649
0.5676 0.5676 0.6351
0.6824 0.8176 0.5000
0.4404 0.4404 0.0000
0.4324 0.0676 0.0000
0.3096 0.8096 0.5000
0.5681 0.0681 0.5000
0.6819 0.6819 0.0000
0.4319 0.9319 0.5000
0.9319 0.4319 0.5000
0.8181 0.8181 0.0000
0.0681 0.5681 0.5000
0.3181 0.3181 0.0000
0.1819 0.1819 0.0000